1.
## SrCu2Ag2 (GGA-PBE)

Data for SrCu2Ag2 after structural relaxation.

Computed properties:
ΔE to the lowest computed polymorph   132 meV per atom
Formation energy   0.321 eV per formula unit
SG   P4/mbm, No. 127
Total magnetization   0.00 μB/f.u.

a b c (Å): 7.6878 7.6878 3.2588
angles (deg): 90.00 90.00 90.00
Positions (direct):
Sr 0.0000 0.0000 0.0000
Sr 0.5000 0.5000 0.0000
Cu 0.1167 0.3833 0.0000
Cu 0.3833 0.8833 0.0000
Cu 0.6167 0.1167 0.0000
Cu 0.8833 0.6167 0.0000
Ag 0.1704 0.6704 0.5000
Ag 0.3296 0.1704 0.5000
Ag 0.6704 0.8296 0.5000
Ag 0.8296 0.3296 0.5000

=====

2.
## Sr2Cu5Ag5 (GGA-PBE)

Data for Sr2Cu5Ag5 after structural relaxation.

Computed properties:
Formation energy   -0.913 eV per formula unit
SG   Pmmm, No. 47
Total magnetization   0.00 μB/f.u.

a b c (Å): 4.4085 5.3669 9.8100
angles (deg): 90.00 90.00 90.00
Positions (direct):
Sr 0.0000 0.0000 0.0000
Sr 0.0000 0.5000 0.5000
Cu 0.5000 0.0000 0.5000
Cu 0.5000 0.2482 0.2597
Cu 0.5000 0.2482 0.7403
Cu 0.5000 0.7518 0.2597
Cu 0.5000 0.7518 0.7403
Ag 0.0000 0.0000 0.3330
Ag 0.0000 0.0000 0.6670
Ag 0.0000 0.5000 0.1814
Ag 0.0000 0.5000 0.8186
Ag 0.5000 0.5000 0.0000

=====

3.
## SrCu2Ag (GGA-PBE)

Data for SrCu2Ag after structural relaxation.

Computed properties:
ΔE to the lowest computed polymorph   136 meV per atom
Formation energy   0.238 eV per formula unit
SG   I4_1/amd, No. 141
Total magnetization   0.00 μB/f.u.

a b c (Å): 9.6495 9.6495 9.6495
angles (deg): 151.77 151.77 40.34
Positions (direct):
Sr 0.3750 0.6250 0.7500
Sr 0.6250 0.3750 0.2500
Cu 0.0000 0.0000 0.0000
Cu 0.0000 0.0000 0.5000
Cu 0.0000 0.5000 0.0000
Cu 0.5000 0.0000 0.5000
Ag 0.1250 0.8750 0.2500
Ag 0.8750 0.1250 0.7500

=====

4.
## Sr4CuAg3 (GGA-PBE)

Data for Sr4CuAg3 after structural relaxation.

Computed properties:
Formation energy   -2.016 eV per formula unit
SG   Pmm2, No. 25
Total magnetization   0.00 μB/f.u.

a b c (Å): 4.5287 4.6659 11.9362
angles (deg): 90.00 90.00 90.00
Positions (direct):
Sr 0.0000 0.0000 0.0000
Sr 0.0000 0.5000 0.2748
Sr 0.5000 0.0000 0.4915
Sr 0.5000 0.5000 0.7772
Cu 0.5000 0.0000 0.1992
Ag 0.0000 0.0000 0.7077
Ag 0.0000 0.5000 0.5630
Ag 0.5000 0.5000 0.0743

=====

5.
## SrCuAg (GGA-PBE)

Data for SrCuAg after structural relaxation.

Computed properties:
ΔE to the lowest computed polymorph   144 meV per atom
Formation energy   -0.074 eV per formula unit
SG   I4mm, No. 107
Total magnetization   0.00 μB/f.u.

a b c (Å): 5.8870 5.8870 5.8870
angles (deg): 143.96 143.96 51.88
Positions (direct):
Sr 0.0000 0.0000 0.0000
Cu 0.3014 0.3014 0.0000
Ag 0.7048 0.7048 0.0000

=====

6.
## Sr2Cu15Ag2 (GGA-PBE)

Data for Sr2Cu15Ag2 after structural relaxation.

Computed properties:
Formation energy   -0.424 eV per formula unit
SG   R-3m, No. 166
Total magnetization   0.00 μB/f.u.

a b c (Å): 6.6584 6.6584 6.6584
angles (deg): 83.33 83.33 83.33
Positions (direct):
Sr 0.1538 0.1538 0.1538
Sr 0.8462 0.8462 0.8462
Cu 0.0000 0.5000 0.5000
Cu 0.1577 0.1577 0.6552
Cu 0.1577 0.6552 0.1577
Cu 0.2056 0.5000 0.7944
Cu 0.2056 0.7944 0.5000
Cu 0.3448 0.8423 0.8423
Cu 0.5000 0.0000 0.5000
Cu 0.5000 0.2056 0.7944
Cu 0.5000 0.5000 0.0000
Cu 0.5000 0.7944 0.2056
Cu 0.6552 0.1577 0.1577
Cu 0.7944 0.2056 0.5000
Cu 0.7944 0.5000 0.2056
Cu 0.8423 0.3448 0.8423
Cu 0.8423 0.8423 0.3448
Ag 0.3966 0.3966 0.3966
Ag 0.6034 0.6034 0.6034

=====

7.
## SrCu2Ag2 (GGA-PBE)

Data for SrCu2Ag2 after structural relaxation.

Computed properties:
ΔE to the lowest computed polymorph   172 meV per atom
Formation energy   0.521 eV per formula unit
SG   P4/mbm, No. 127
Total magnetization   0.00 μB/f.u.

a b c (Å): 7.8866 7.8866 3.0924
angles (deg): 90.00 90.00 90.00
Positions (direct):
Sr 0.0000 0.0000 0.0000
Sr 0.5000 0.5000 0.0000
Cu 0.1652 0.3348 0.5000
Cu 0.3348 0.8348 0.5000
Cu 0.6652 0.1652 0.5000
Cu 0.8348 0.6652 0.5000
Ag 0.1280 0.6280 0.0000
Ag 0.3720 0.1280 0.0000
Ag 0.6280 0.8720 0.0000
Ag 0.8720 0.3720 0.0000

=====

8.
## Sr8Cu2Ag (GGA-PBE)

Data for Sr8Cu2Ag after structural relaxation.

Computed properties:
Formation energy   0.984 eV per formula unit
SG   P-3, No. 147
Total magnetization   0.00 μB/f.u.

a b c (Å): 9.6017 9.6017 6.5851
angles (deg): 90.00 90.00 120.00
Positions (direct):
Sr 0.1573 0.3163 0.2457
Sr 0.1590 0.8427 0.2457
Sr 0.3163 0.1590 0.7543
Sr 0.3333 0.6667 0.7495
Sr 0.6667 0.3333 0.2505
Sr 0.6837 0.8410 0.2457
Sr 0.8410 0.1573 0.7543
Sr 0.8427 0.6837 0.7543
Cu 0.3333 0.6667 0.2493
Cu 0.6667 0.3333 0.7507
Ag 0.0000 0.0000 0.5000

=====

9.
## SrCu2Ag2 (GGA-PBE)

Data for SrCu2Ag2 after structural relaxation.

Computed properties:
ΔE to the lowest computed polymorph   52 meV per atom
Formation energy   -0.077 eV per formula unit
SG   I4/mmm, No. 139
Total magnetization   0.00 μB/f.u.

a b c (Å): 6.1184 6.1184 6.1184
angles (deg): 136.35 136.35 63.45
Positions (direct):
Sr 0.0000 0.0000 0.0000
Cu 0.2500 0.7500 0.5000
Cu 0.7500 0.2500 0.5000
Ag 0.3687 0.3687 0.0000
Ag 0.6313 0.6313 0.0000

=====

10.
## Sr3Cu4Ag2 (GGA-PBE)

Data for Sr3Cu4Ag2 after structural relaxation.

Computed properties:
Formation energy   -1.218 eV per formula unit
SG   C2/m, No. 12
Total magnetization   0.00 μB/f.u.

a b c (Å): 6.1420 6.1420 8.8521
angles (deg): 103.41 103.41 42.51
Positions (direct):
Sr 0.0000 0.0000 0.0000
Sr 0.3368 0.3368 0.3302
Sr 0.6632 0.6632 0.6698
Cu 0.0542 0.0542 0.3977
Cu 0.2729 0.2729 0.9530
Cu 0.7271 0.7271 0.0470
Cu 0.9458 0.9458 0.6023
Ag 0.3841 0.3841 0.7229
Ag 0.6159 0.6159 0.2771

=====

11.
## SrCu2Ag (GGA-PBE)

Data for SrCu2Ag after structural relaxation.

Computed properties:
ΔE to the lowest computed polymorph   144 meV per atom
Formation energy   0.272 eV per formula unit
SG   Pm, No. 6
Total magnetization   0.00 μB/f.u.

a b c (Å): 3.8593 4.1519 5.6713
angles (deg): 90.00 108.68 90.00
Positions (direct):
Sr 0.0000 0.0000 0.0000
Cu 0.2915 0.0000 0.5409
Cu 0.3856 0.5000 0.7636
Ag 0.7107 0.5000 0.4026

=====

12.
## SrCu2Ag (GGA-PBE)

Data for SrCu2Ag after structural relaxation.

Computed properties:
ΔE to the lowest computed polymorph   165 meV per atom
Formation energy   0.352 eV per formula unit
SG   Immm, No. 71
Total magnetization   0.00 μB/f.u.

a b c (Å): 4.9474 4.9474 4.9474
angles (deg): 123.71 113.50 92.64
Positions (direct):
Sr 0.0000 0.0000 0.0000
Cu 0.3100 0.8100 0.5000
Cu 0.6900 0.1900 0.5000
Ag 0.5000 0.5000 0.0000

=====

For each record above, in turn, the calculated N(E_F) values are 3.04, 5.53, 3.48, 4.02, 1.14, 6.47, 3.80, 7.05, 1.37, 3.42, 1.50, 1.18 states/eV/cell.
For each record above, in turn, the calculated uncorrected energy values are -30.51, -39.01, -24.97, -21.39, -8.70, -70.93, -30.11, -23.51, -15.65, -28.35, -12.45, -12.37 eV/cell.